Entry 1:
! Pm2Ag3Au2 PBE relaxed; values from VASP
! * DFT formation energy: -0.4114 eV per atom
! * calculated density: 10.384 g/cm³
! * symmetry: Cmmm (65)
! * energy relative to the lowest polymorph listed for this composition: 0.54 eV/f.u.
! * total magnetization: 0.00 μB/cell
! * total DFT energy (no corrections): -3.927 eV per atom
&SYSTEM
  ibrav = 0, nat = 7, ntyp = 3
/
ATOMIC_SPECIES
Pm 145.00 Pm.upf
Ag 107.87 Ag.upf
Au 196.97 Au.upf
CELL_PARAMETERS angstrom
-3.4946 -0.1409 -1.2213
-1.3207 -0.7985 3.8711
-0.3677 10.6342 -0.1750
ATOMIC_POSITIONS crystal
Pm 0.0000 0.1507 0.3014
Pm 0.0000 0.8493 0.6986
Ag 0.5000 0.5657 0.1313
Ag 0.5000 0.4343 0.8687
Ag 0.0000 0.0000 0.0000
Au 0.5000 0.2944 0.5889
Au 0.5000 0.7056 0.4111

***

Entry 2:
! Pm3Ag2Au2 PBE relaxed; values from VASP
! * DFT formation energy: -0.4349 eV per atom
! * calculated density: 9.173 g/cm³
! * symmetry: P-1 (2)
! * total magnetization: 0.00 μB/cell
! * total DFT energy (no corrections): -4.222 eV per atom
&SYSTEM
  ibrav = 0, nat = 7, ntyp = 3
/
ATOMIC_SPECIES
Ag 107.87 Ag.upf
Au 196.97 Au.upf
Pm 145.00 Pm.upf
CELL_PARAMETERS angstrom
4.9052 -0.0360 -1.3784
-2.7526 4.4190 -0.3446
-0.0921 -0.7691 8.9858
ATOMIC_POSITIONS crystal
Ag 0.7563 0.4069 0.1028
Ag 0.2437 0.5931 0.8972
Au 0.3007 0.2301 0.3598
Au 0.6993 0.7699 0.6402
Pm 0.5868 0.8659 0.3022
Pm 0.0000 0.0000 0.0000
Pm 0.4132 0.1341 0.6978

***

Entry 3:
! Pm6Ag2Au PBE relaxed; values from VASP
! * DFT formation energy: -0.0686 eV per atom
! * calculated density: 7.419 g/cm³
! * symmetry: C2/m (12)
! * total magnetization: 1.97 μB/cell
! * total DFT energy (no corrections): -4.233 eV per atom
&SYSTEM
  ibrav = 0, nat = 9, ntyp = 3
/
ATOMIC_SPECIES
Pm 145.00 Pm.upf
Ag 107.87 Ag.upf
Au 196.97 Au.upf
CELL_PARAMETERS angstrom
-3.9083 2.7824 1.8097
0.2384 -3.7181 6.2316
6.8366 5.5907 -1.1554
ATOMIC_POSITIONS crystal
Pm 0.1647 0.9175 0.3298
Pm 0.8353 0.5877 0.6702
Pm 0.8353 0.0825 0.6702
Pm 0.5000 0.2450 0.0000
Pm 0.1647 0.4123 0.3298
Pm 0.5000 0.7550 0.0000
Ag 0.3337 0.3334 0.6669
Ag 0.6663 0.6666 0.3331
Au 0.0000 0.0000 0.0000

***

Entry 4:
! Pm3AgAu PBE relaxed; values from VASP
! * DFT formation energy: -0.4104 eV per atom
! * calculated density: 8.933 g/cm³
! * symmetry: Cmcm (63)
! * energy relative to the lowest polymorph listed for this composition: 0.00 eV/f.u.
! * total magnetization: 0.00 μB/cell
! * total DFT energy (no corrections): -4.486 eV per atom
&SYSTEM
  ibrav = 0, nat = 10, ntyp = 3
/
ATOMIC_SPECIES
Pm 145.00 Pm.upf
Au 196.97 Au.upf
Ag 107.87 Ag.upf
CELL_PARAMETERS angstrom
5.0908 0.0000 1.1634
0.0000 5.2282 0.0000
0.3010 0.0000 10.4029
ATOMIC_POSITIONS crystal
Pm 0.8902 0.7500 0.8679
Pm 0.7581 0.2500 0.1321
Pm 0.2597 0.7500 0.1290
Pm 0.0746 0.7500 0.4991
Pm 0.5737 0.2500 0.5009
Pm 0.3887 0.2500 0.8710
Au 0.6639 0.7500 0.3205
Au 0.9844 0.2500 0.6795
Ag 0.4813 0.7500 0.6857
Ag 0.1670 0.2500 0.3143

***

Entry 5:
! Pm2Ag3Au5 PBE relaxed; values from VASP
! * DFT formation energy: -0.3273 eV per atom
! * calculated density: 12.107 g/cm³
! * symmetry: Ibam (72)
! * total magnetization: 0.00 μB/cell
! * total DFT energy (no corrections): -3.771 eV per atom
&SYSTEM
  ibrav = 0, nat = 20, ntyp = 3
/
ATOMIC_SPECIES
Au 196.97 Au.upf
Pm 145.00 Pm.upf
Ag 107.87 Ag.upf
CELL_PARAMETERS angstrom
5.7277 0.0000 0.0000
2.8639 8.6967 -1.3389
2.8639 0.0185 8.7992
ATOMIC_POSITIONS crystal
Au 0.9995 0.2505 0.2505
Au 0.0005 0.7495 0.7495
Au 0.2500 0.5000 0.5000
Au 0.6299 0.7195 0.0208
Au 0.5005 0.7495 0.7495
Au 0.1299 0.0208 0.7195
Au 0.7500 0.5000 0.5000
Au 0.4995 0.2505 0.2505
Au 0.3701 0.2805 0.9792
Au 0.8701 0.9792 0.2805
Pm 0.8752 0.3616 0.8881
Pm 0.1248 0.6384 0.1119
Pm 0.6248 0.1119 0.6384
Pm 0.3752 0.8881 0.3616
Ag 0.1191 0.2345 0.5273
Ag 0.3809 0.4727 0.7655
Ag 0.8809 0.7655 0.4727
Ag 0.6191 0.5273 0.2345
Ag 0.2500 0.0000 0.0000
Ag 0.7500 0.0000 0.0000

***

Entry 6:
! Pm12Ag5Au3 PBE relaxed; values from VASP
! * DFT formation energy: 0.0490 eV per atom
! * calculated density: 7.097 g/cm³
! * symmetry: Ia-3d (230)
! * total magnetization: 0.00 μB/cell
! * total DFT energy (no corrections): -4.006 eV per atom
&SYSTEM
  ibrav = 0, nat = 80, ntyp = 3
/
ATOMIC_SPECIES
Au 196.97 Au.upf
Pm 145.00 Pm.upf
Ag 107.87 Ag.upf
CELL_PARAMETERS angstrom
-14.4845 3.9465 2.1662
1.8253 -4.9221 -14.2306
3.7318 -11.0551 9.6915
ATOMIC_POSITIONS crystal
Au 0.8750 0.7500 0.1250
Au 0.3750 0.6250 0.2500
Au 0.7500 0.3750 0.1250
Au 0.1250 0.8750 0.7500
Au 0.2500 0.1250 0.3750
Au 0.1250 0.2500 0.8750
Au 0.8750 0.1250 0.2500
Au 0.2500 0.6250 0.8750
Au 0.3750 0.7500 0.6250
Au 0.6250 0.3750 0.7500
Au 0.6250 0.2500 0.3750
Au 0.7500 0.8750 0.6250
Pm 0.1684 0.0758 0.9420
Pm 0.3662 0.4242 0.0927
Pm 0.8662 0.2735 0.4420
Pm 0.7735 0.4420 0.3662
Pm 0.5758 0.6338 0.4073
Pm 0.5927 0.8662 0.4242
Pm 0.9242 0.8316 0.5580
Pm 0.5927 0.7265 0.6684
Pm 0.6684 0.4420 0.5758
Pm 0.2735 0.8662 0.9420
Pm 0.4420 0.6684 0.0758
Pm 0.0758 0.1684 0.4420
Pm 0.3662 0.9420 0.7735
Pm 0.9073 0.8316 0.7735
Pm 0.5758 0.9420 0.6684
Pm 0.3316 0.7735 0.4073
Pm 0.2265 0.6684 0.0927
Pm 0.7735 0.3316 0.9073
Pm 0.4242 0.0580 0.3316
Pm 0.9420 0.3662 0.2735
Pm 0.4242 0.3662 0.5927
Pm 0.8316 0.9242 0.0580
Pm 0.1338 0.7265 0.5580
Pm 0.6338 0.0580 0.2265
Pm 0.0758 0.9073 0.1338
Pm 0.8662 0.5927 0.9242
Pm 0.5580 0.3316 0.9242
Pm 0.5580 0.2265 0.1338
Pm 0.4073 0.2735 0.3316
Pm 0.0580 0.4242 0.8316
Pm 0.1338 0.4073 0.0758
Pm 0.3316 0.5580 0.4242
Pm 0.6684 0.2265 0.5927
Pm 0.1684 0.0927 0.7265
Pm 0.4420 0.7735 0.8662
Pm 0.6338 0.5758 0.9073
Pm 0.9420 0.5758 0.1684
Pm 0.2735 0.4073 0.8316
Pm 0.0580 0.6338 0.7265
Pm 0.8316 0.9073 0.2735
Pm 0.9073 0.0758 0.6338
Pm 0.4073 0.1338 0.5758
Pm 0.2265 0.5580 0.6338
Pm 0.0927 0.9242 0.3662
Pm 0.9242 0.0927 0.8662
Pm 0.7265 0.5927 0.1684
Pm 0.0927 0.1684 0.2265
Pm 0.7265 0.1338 0.0580
Ag 0.3750 0.1250 0.7500
Ag 0.0000 0.5000 0.5000
Ag 0.5000 0.5000 0.0000
Ag 0.2500 0.3750 0.6250
Ag 0.8750 0.2500 0.6250
Ag 0.7500 0.6250 0.3750
Ag 0.5000 0.0000 0.0000
Ag 0.0000 0.0000 0.5000
Ag 0.2500 0.8750 0.1250
Ag 0.5000 0.5000 0.5000
Ag 0.0000 0.5000 0.0000
Ag 0.6250 0.8750 0.2500
Ag 0.1250 0.3750 0.2500
Ag 0.7500 0.1250 0.8750
Ag 0.6250 0.7500 0.8750
Ag 0.5000 0.0000 0.5000
Ag 0.3750 0.2500 0.1250
Ag 0.1250 0.7500 0.3750
Ag 0.0000 0.0000 0.0000
Ag 0.8750 0.6250 0.7500

***

Entry 7:
! Pm8Ag2Au PBE relaxed; values from VASP
! * DFT formation energy: -0.2028 eV per atom
! * calculated density: 7.928 g/cm³
! * symmetry: C2/m (12)
! * total magnetization: 0.00 μB/cell
! * total DFT energy (no corrections): -4.474 eV per atom
&SYSTEM
  ibrav = 0, nat = 11, ntyp = 3
/
ATOMIC_SPECIES
Ag 107.87 Ag.upf
Pm 145.00 Pm.upf
Au 196.97 Au.upf
CELL_PARAMETERS angstrom
5.2849 0.0000 0.0000
0.0000 7.0427 0.2155
-2.6424 -2.7690 8.7659
ATOMIC_POSITIONS crystal
Ag 0.8180 0.2653 0.6360
Ag 0.1820 0.7347 0.3640
Pm 0.6653 0.9829 0.3306
Pm 0.7996 0.6716 0.5992
Pm 0.4091 0.5426 0.8183
Pm 0.3347 0.0171 0.6694
Pm 0.2004 0.3284 0.4008
Pm 0.5909 0.4574 0.1817
Pm 0.9752 0.2249 0.9504
Pm 0.0248 0.7751 0.0496
Au 0.5000 0.0000 0.0000

***

Entry 8:
! PmAgAu PBE relaxed; values from VASP
! * DFT formation energy: -0.5298 eV per atom
! * calculated density: 10.650 g/cm³
! * symmetry: P-6m2 (187)
! * energy relative to the lowest polymorph listed for this composition: 0.07 eV/f.u.
! * total magnetization: 0.00 μB/cell
! * total DFT energy (no corrections): -4.156 eV per atom
&SYSTEM
  ibrav = 0, nat = 3, ntyp = 3
/
ATOMIC_SPECIES
Au 196.97 Au.upf
Pm 145.00 Pm.upf
Ag 107.87 Ag.upf
CELL_PARAMETERS angstrom
3.5617 0.0000 0.0000
0.0000 4.7684 0.0000
0.0000 -2.3842 4.1296
ATOMIC_POSITIONS crystal
Au 0.1664 0.0000 0.0000
Pm 0.6667 0.3333 0.6667
Ag 0.1669 0.6667 0.3333